(1)
## HfZn3 (meta-GGA SCAN)

Data for a PBEsol-optimized structure of HfZn3.

Cell and atoms, written as POSCAR:
```
HfZn3
1.0
4.306 0.000 0.000
0.000 5.735 0.000
0.000 -2.868 4.967
Zn Hf
6 2
Direct
0.250 0.683 0.841 Zn
0.250 0.159 0.317 Zn
0.250 0.159 0.841 Zn
0.750 0.317 0.159 Zn
0.750 0.841 0.683 Zn
0.750 0.841 0.159 Zn
0.750 0.333 0.667 Hf
0.250 0.667 0.333 Hf
```

Properties
DFT formation energy in eV/atom: -0.27


(2)
## Sr2Zn2Pd (meta-GGA SCAN)

Data for a PBEsol-optimized structure of Sr2Zn2Pd.

Cell and atoms, written as POSCAR:
```
Sr2Zn2Pd
1.0
-1.972 4.739 -2.244
-2.356 -1.536 4.845
5.320 0.190 1.745
Sr Zn Pd
2 2 1
Direct
0.500 0.750 0.250 Sr
0.500 0.250 0.750 Sr
0.000 0.661 0.661 Zn
0.000 0.339 0.339 Zn
0.000 0.000 0.000 Pd
```

Properties
DFT formation energy in eV/atom: -0.21


(3)
## SrCa2Cd2 (meta-GGA SCAN)

Data for a PBEsol-optimized structure of SrCa2Cd2.

Cell and atoms, written as POSCAR:
```
SrCa2Cd2
1.0
-1.502 2.252 -2.373
-8.272 -2.306 3.047
0.386 6.724 6.137
Sr Ca Cd
2 4 4
Direct
0.000 0.000 0.000 Sr
0.000 0.500 0.500 Sr
0.000 0.368 0.868 Ca
0.000 0.868 0.632 Ca
0.000 0.632 0.132 Ca
0.000 0.132 0.368 Ca
0.500 0.163 0.663 Cd
0.500 0.663 0.837 Cd
0.500 0.837 0.337 Cd
0.500 0.337 0.163 Cd
```

Properties
Energy relative to the lowest polymorph listed for this composition in eV/atom: 0.000
DFT formation energy in eV/atom: -0.30


(4)
## OsSeCl2 (meta-GGA SCAN)

Data for a PBEsol-optimized structure of OsSeCl2.

Cell and atoms, written as POSCAR:
```
OsSeCl2
1.0
3.546 0.000 0.000
1.773 3.071 0.000
1.773 1.024 7.310
Os Se Cl
1 1 2
Direct
0.493 0.493 0.520 Os
0.770 0.770 0.690 Se
0.012 0.012 0.965 Cl
0.225 0.225 0.325 Cl
```

Properties
Energy relative to the lowest polymorph listed for this composition in eV/atom: 0.000
Formation energy from raw total energies in eV/atom: 0.071


(5)
## La2W (meta-GGA SCAN)

Data for a PBEsol-optimized structure of La2W.

Cell and atoms, written as POSCAR:
```
La2W
1.0
-2.653 3.823 -1.235
-1.005 -4.328 -1.855
-4.828 -1.428 5.948
La W
4 2
Direct
0.000 0.000 0.000 La
0.000 0.000 0.500 La
0.667 0.333 0.750 La
0.333 0.667 0.250 La
0.667 0.333 0.250 W
0.333 0.667 0.750 W
```

Properties
Energy relative to the lowest polymorph listed for this composition in eV/atom: 0.000
DFT formation energy in eV/atom: 0.68


(6)
## GdDy3Ni4 (meta-GGA SCAN)

Data for a PBEsol-optimized structure of GdDy3Ni4.

Cell and atoms, written as POSCAR:
```
GdDy3Ni4
1.0
4.156 0.000 0.000
0.000 5.312 -0.007
0.000 -0.011 6.880
Gd Dy Ni
1 3 4
Direct
0.000 0.367 0.320 Gd
0.000 0.133 0.820 Dy
0.500 0.633 0.681 Dy
0.500 0.867 0.180 Dy
0.000 0.873 0.464 Ni
0.000 0.629 0.961 Ni
0.500 0.125 0.539 Ni
0.500 0.373 0.035 Ni
```

Properties
DFT formation energy in eV/atom: -0.43


(7)
## TcMoRh2 (meta-GGA SCAN)

Data for a PBEsol-optimized structure of TcMoRh2.

Cell and atoms, written as POSCAR:
```
TcMoRh2
1.0
-1.899 1.600 1.040
-3.046 -2.864 -1.155
0.459 -2.180 4.191
Mo Rh Tc
1 2 1
Direct
0.500 0.500 0.211 Mo
0.000 0.000 0.041 Rh
0.000 0.500 0.703 Rh
0.500 0.000 0.544 Tc
```

Properties
Energy relative to the lowest polymorph listed for this composition in eV/atom: 0.000
DFT formation energy in eV/atom: -0.24


(8)
## YTeMoN2 (meta-GGA SCAN)

Data for a PBEsol-optimized structure of YTeMoN2.

Cell and atoms, written as POSCAR:
```
YTeMoN2
1.0
4.035 0.000 0.000
0.000 4.035 0.000
0.000 0.000 5.345
Y Mo Te N
1 1 1 2
Direct
0.500 0.500 0.500 Y
0.000 0.000 0.000 Mo
0.000 0.000 0.500 Te
0.000 0.500 0.000 N
0.500 0.000 0.000 N
```

Properties
Formation energy from raw total energies in eV/atom: -0.116


(9)
## MgBe2ReAs (meta-GGA SCAN)

Data for a PBEsol-optimized structure of MgBe2ReAs.

Cell and atoms, written as POSCAR:
```
MgBe2ReAs
1.0
-0.463 -0.663 -4.129
-3.265 -2.538 0.774
-2.873 3.617 -0.259
Re As Mg Be
1 1 1 2
Direct
0.000 0.000 0.500 Re
0.000 0.000 0.000 As
0.500 0.500 0.500 Mg
0.000 0.500 0.000 Be
0.500 0.000 0.000 Be
```

Properties
DFT formation energy in eV/atom: 0.99


(10)
## LiAl2Mo (meta-GGA SCAN)

Data for a PBEsol-optimized structure of LiAl2Mo.

Cell and atoms, written as POSCAR:
```
LiAl2Mo
1.0
2.875 0.000 0.000
0.000 4.436 0.000
-1.438 -2.218 4.582
Mo Al Li
1 2 1
Direct
0.251 0.751 0.502 Mo
0.999 0.999 0.999 Al
0.753 0.253 0.505 Al
0.497 0.497 0.994 Li
```

Properties
Energy relative to the lowest polymorph listed for this composition in eV/atom: 0.119
DFT formation energy in eV/atom: -0.08


(11)
## InCo2Os (meta-GGA SCAN)

Data for a PBEsol-optimized structure of InCo2Os.

Cell and atoms, written as POSCAR:
```
InCo2Os
1.0
2.862 0.000 0.000
0.000 2.862 0.000
0.000 0.000 6.580
Co Os In
2 1 1
Direct
0.000 0.000 0.012 Co
0.500 0.500 0.212 Co
0.500 0.500 0.794 Os
0.000 0.000 0.482 In
```

Properties
DFT formation energy in eV/atom: 0.31


(12)
## TcMo2W (meta-GGA SCAN)

Data for a PBEsol-optimized structure of TcMo2W.

Cell and atoms, written as POSCAR:
```
TcMo2W
1.0
3.107 0.000 0.000
0.000 4.389 0.000
0.000 0.000 4.423
Mo Tc W
2 1 1
Direct
0.000 0.000 0.000 Mo
0.500 0.500 0.000 Mo
0.500 0.000 0.500 Tc
0.000 0.500 0.500 W
```

Properties
Energy relative to the lowest polymorph listed for this composition in eV/atom: 0.008
DFT formation energy in eV/atom: 0.01


(13)
## CsBePd3 (meta-GGA SCAN)

Data for a PBEsol-optimized structure of CsBePd3.

Cell and atoms, written as POSCAR:
```
CsBePd3
1.0
5.138 0.000 0.000
0.000 5.138 0.000
0.000 0.000 5.138
Cs Be Pd
1 1 3
Direct
0.000 0.000 0.000 Cs
0.500 0.500 0.500 Be
0.000 0.500 0.000 Pd
0.000 0.000 0.500 Pd
0.500 0.000 0.000 Pd
```

Properties
DFT formation energy in eV/atom: 1.92


(14)
## BeGaIr2 (meta-GGA SCAN)

Data for a PBEsol-optimized structure of BeGaIr2.

Cell and atoms, written as POSCAR:
```
BeGaIr2
1.0
4.118 0.000 0.000
2.059 3.567 0.000
2.059 1.189 3.363
Be Ir Ga
1 2 1
Direct
0.000 0.000 0.000 Be
0.250 0.250 0.250 Ir
0.750 0.750 0.750 Ir
0.500 0.500 0.500 Ga
```

Properties
DFT formation energy in eV/atom: -0.60


(15)
## SnSbTe2I (meta-GGA SCAN)

Data for a PBEsol-optimized structure of SnSbTe2I.

Cell and atoms, written as POSCAR:
```
SnSbTe2I
1.0
-3.595 -3.846 1.842
3.156 -0.736 4.625
-2.946 4.023 2.651
I Sb Te Sn
1 1 2 1
Direct
0.500 0.000 0.000 I
0.500 0.500 0.500 Sb
0.000 0.000 0.500 Te
0.000 0.500 0.000 Te
0.000 0.000 0.000 Sn
```

Properties
Formation energy from raw total energies in eV/atom: 0.556


(16)
## BaHN (meta-GGA SCAN)

Data for a PBEsol-optimized structure of BaHN.

Cell and atoms, written as POSCAR:
```
BaHN
1.0
4.300 0.029 0.000
-0.734 4.238 0.000
0.000 0.000 5.900
H Ba N
2 2 2
Direct
0.850 0.150 0.250 H
0.150 0.850 0.750 H
0.304 0.696 0.250 Ba
0.696 0.304 0.750 Ba
0.310 0.690 0.750 N
0.690 0.310 0.250 N
```

Properties
Calculated total energy in eV per cell: -109.0


(17)
## Zr3SbRu (meta-GGA SCAN)

Data for a PBEsol-optimized structure of Zr3SbRu.

Cell and atoms, written as POSCAR:
```
Zr3SbRu
1.0
-0.103 3.275 3.942
-4.988 -0.970 0.675
1.177 -3.822 3.207
Sb Zr Ru
1 3 1
Direct
0.000 0.000 0.000 Sb
0.000 0.500 0.000 Zr
0.000 0.000 0.500 Zr
0.500 0.000 0.000 Zr
0.500 0.500 0.500 Ru
```

Properties
Formation energy from raw total energies in eV/atom: 1.154


(18)
## RePtSe2N (meta-GGA SCAN)

Data for a PBEsol-optimized structure of RePtSe2N.

Cell and atoms, written as POSCAR:
```
RePtSe2N
1.0
-3.080 -0.899 -1.763
0.155 -4.465 2.005
-2.643 1.612 3.794
Re Se Pt N
1 2 1 1
Direct
0.000 0.000 0.000 Re
0.000 0.000 0.500 Se
0.000 0.500 0.000 Se
0.500 0.500 0.500 Pt
0.500 0.000 0.000 N
```

Properties
Formation energy from raw total energies in eV/atom: 0.699


(19)
## ZnCuIr2 (meta-GGA SCAN)

Data for a PBEsol-optimized structure of ZnCuIr2.

Cell and atoms, written as POSCAR:
```
ZnCuIr2
1.0
2.708 0.000 0.000
1.354 2.345 0.000
1.354 0.782 8.401
Zn Ir Cu
1 2 1
Direct
0.500 0.500 0.500 Zn
0.251 0.251 0.248 Ir
0.749 0.749 0.752 Ir
0.000 0.000 0.000 Cu
```

Properties
DFT formation energy in eV/atom: -0.04


(20)
## CuHgW2C (meta-GGA SCAN)

Data for a PBEsol-optimized structure of CuHgW2C.

Cell and atoms, written as POSCAR:
```
CuHgW2C
1.0
4.065 0.000 0.000
0.000 4.065 0.000
0.000 0.000 4.480
C Cu Hg W
1 1 1 2
Direct
0.000 0.000 0.000 C
0.500 0.500 0.500 Cu
0.000 0.000 0.500 Hg
0.000 0.500 0.000 W
0.500 0.000 0.000 W
```

Properties
DFT formation energy in eV/atom: 1.02


(21)
## MgTi2Nb2Pb5O15 (meta-GGA SCAN)

Data for a PBEsol-optimized structure of MgTi2Nb2Pb5O15.

Cell and atoms, written as POSCAR:
```
MgTi2Nb2Pb5O15
1.0
5.623 0.000 0.000
-2.811 5.004 -0.067
0.000 -2.922 11.606
Mg Ti Nb Pb O
1 2 2 5 15
Direct
0.694 0.388 0.100 Mg
0.890 0.779 0.693 Ti
0.490 0.980 0.504 Ti
0.300 0.599 0.905 Nb
0.089 0.177 0.297 Nb
0.973 0.946 0.991 Pb
0.575 0.150 0.803 Pb
0.173 0.345 0.601 Pb
0.769 0.539 0.396 Pb
0.365 0.731 0.201 Pb
0.318 0.636 0.407 O
0.717 0.434 0.600 O
0.117 0.233 0.797 O
0.504 0.008 0.987 O
0.910 0.819 0.202 O
0.411 0.340 0.213 O
0.813 0.137 0.409 O
0.217 0.940 0.604 O
0.623 0.739 0.799 O
0.014 0.535 0.002 O
0.929 0.340 0.213 O
0.324 0.137 0.409 O
0.723 0.940 0.604 O
0.116 0.739 0.799 O
0.521 0.535 0.002 O
```

Properties
Formation energy from raw total energies in eV/atom: -2.320


(22)
## ScMn3 (meta-GGA SCAN)

Data for a PBEsol-optimized structure of ScMn3.

Cell and atoms, written as POSCAR:
```
ScMn3
1.0
2.656 0.000 0.000
1.328 2.300 0.000
1.328 0.767 8.281
Mn Sc
3 1
Direct
0.741 0.741 0.777 Mn
0.000 0.000 0.000 Mn
0.259 0.259 0.223 Mn
0.500 0.500 0.500 Sc
```

Properties
DFT formation energy in eV/atom: 0.33


(23)
## NdBi2BrO4 (meta-GGA SCAN)

Data for a PBEsol-optimized structure of NdBi2BrO4.

Cell and atoms, written as POSCAR:
```
NdBi2BrO4
1.0
-3.648 0.203 1.441
0.539 -3.424 1.848
3.151 4.464 7.352
O Nd Bi Br
4 1 2 1
Direct
0.500 0.000 0.158 O
0.000 0.500 0.158 O
0.000 0.500 0.842 O
0.500 0.000 0.842 O
0.000 0.000 0.000 Nd
0.500 0.500 0.723 Bi
0.500 0.500 0.277 Bi
0.000 0.000 0.500 Br
```

Properties
Formation energy from raw total energies in eV/atom: -2.021


(24)
## CaIrI2O (meta-GGA SCAN)

Data for a PBEsol-optimized structure of CaIrI2O.

Cell and atoms, written as POSCAR:
```
CaIrI2O
1.0
-2.474 -2.408 1.602
1.000 -3.727 -4.056
4.135 -2.216 3.055
I Ca Ir O
2 1 1 1
Direct
0.000 0.000 0.500 I
0.000 0.500 0.000 I
0.500 0.500 0.500 Ca
0.000 0.000 0.000 Ir
0.500 0.000 0.000 O
```

Properties
Formation energy from raw total energies in eV/atom: -0.616


(25)
## Ta3FeH (meta-GGA SCAN)

Data for a PBEsol-optimized structure of Ta3FeH.

Cell and atoms, written as POSCAR:
```
Ta3FeH
1.0
4.071 0.000 0.000
0.000 4.071 0.000
0.000 0.000 4.071
H Fe Ta
1 1 3
Direct
0.000 0.000 0.000 H
0.500 0.500 0.500 Fe
0.000 0.500 0.000 Ta
0.000 0.000 0.500 Ta
0.500 0.000 0.000 Ta
```

Properties
Calculated total energy in eV per cell: -220.6


(26)
## MnWSe (meta-GGA SCAN)

Data for a PBEsol-optimized structure of MnWSe.

Cell and atoms, written as POSCAR:
```
MnWSe
1.0
-1.515 -2.432 0.995
2.996 -0.158 -0.447
0.908 1.679 5.486
Mn Se W
1 1 1
Direct
0.000 0.000 0.005 Mn
0.333 0.667 0.662 Se
0.667 0.333 0.333 W
```

Properties
Energy relative to the lowest polymorph listed for this composition in eV/atom: 0.000
Formation energy from raw total energies in eV/atom: 0.263


(27)
## SrLa3Os (meta-GGA SCAN)

Data for a PBEsol-optimized structure of SrLa3Os.

Cell and atoms, written as POSCAR:
```
SrLa3Os
1.0
5.675 0.000 0.000
0.000 5.675 0.000
0.000 0.000 5.675
Sr Os La
1 1 3
Direct
0.500 0.500 0.500 Sr
0.000 0.000 0.000 Os
0.000 0.500 0.000 La
0.000 0.000 0.500 La
0.500 0.000 0.000 La
```

Properties
DFT formation energy in eV/atom: -0.16